No. 1
The following is a PBE calculation of an optimized crystal structure of CrRhC, from the Alexandria database.

* polymorph energy (0 for the lowest one): 77 kJ/mol of formula units
* total energy: -8.4004 eV per atom
* formation enthalpy at 0 K: 0.333 eV/atom

Lattice parameters (Å, degrees): 5.672 3.236 8.297 90.00 103.32 90.00
Space group C2/m (No. 12)
Symmetry-distinct sites (fractional):
1 Cr 0.128 0.000 0.387 (multiplicity 4)
2 Rh 0.205 0.500 0.121 (multiplicity 4)
3 C 0.211 0.000 0.633 (multiplicity 4)

***

No. 2
The following is a PBE calculation of an optimized crystal structure of ReAgAu, from the Alexandria database.

* polymorph energy (0 for the lowest one): 246 kJ/mol of formula units
* total energy: -4.9101 eV per atom
* formation enthalpy at 0 K: 1.282 eV/atom

Lattice parameters (Å, degrees): 6.175 6.175 6.175 90.00 90.00 90.00
Space group F-43m (No. 216)
Symmetry-distinct sites (fractional):
1 Re 0.000 0.000 0.000 (multiplicity 4)
2 Ag 0.000 0.000 0.500 (multiplicity 4)
3 Au 0.250 0.250 0.750 (multiplicity 4)

***

No. 3
The following is a PBE calculation of an optimized crystal structure of Ba6GaI5, from the Alexandria database.

* energy relative to the elements, uncorrected: -1211 meV per atom
* total energy: -3.0709 eV per atom

Lattice parameters (Å, degrees): 8.807 15.030 8.641 90.00 109.11 90.00
Space group C2/m (No. 12)
Symmetry-distinct sites (fractional):
1 Ba 0.224 0.000 0.260 (multiplicity 4)
2 Ba 0.229 0.154 0.729 (multiplicity 8)
3 Ga 0.000 0.000 0.500 (multiplicity 2)
4 I 0.000 0.179 0.000 (multiplicity 4)
5 I 0.000 0.337 0.500 (multiplicity 4)
6 I 0.000 0.500 0.000 (multiplicity 2)

***

Copy entry 3 word for word.
The following is a PBE calculation of an optimized crystal structure of Ba6GaI5, from the Alexandria database.

* energy relative to the elements, uncorrected: -1211 meV per atom
* total energy: -3.0709 eV per atom

Lattice parameters (Å, degrees): 8.807 15.030 8.641 90.00 109.11 90.00
Space group C2/m (No. 12)
Symmetry-distinct sites (fractional):
1 Ba 0.224 0.000 0.260 (multiplicity 4)
2 Ba 0.229 0.154 0.729 (multiplicity 8)
3 Ga 0.000 0.000 0.500 (multiplicity 2)
4 I 0.000 0.179 0.000 (multiplicity 4)
5 I 0.000 0.337 0.500 (multiplicity 4)
6 I 0.000 0.500 0.000 (multiplicity 2)